Record 1
Below is a geometry-optimized YBe3Rh structure, with properties calculated at the GGA-PBEsol level.

Cell lengths 4.1952, 4.1952, 4.1952 Å; angles 90.00, 90.00, 90.00 degrees
Space group Pm-3m (No. 221)
Symmetry-distinct sites (fractional):
Y  0.0000  0.0000  0.0000 (multiplicity 1)
Be  0.0000  0.5000  0.5000 (multiplicity 3)
Rh  0.5000  0.5000  0.5000 (multiplicity 1)

Results
ΔH_f (0 K)	-19.9	kJ per mole of atoms
energy above the most stable polymorph in this dataset	0.0	meV/atom


Record 2
Below is a geometry-optimized TaIn2W structure, with properties calculated at the GGA-PBEsol level.

Cell lengths 3.3158, 4.9293, 9.6083 Å; angles 90.00, 90.00, 90.00 degrees
Space group Cmm2 (No. 35)
Symmetry-distinct sites (fractional):
Ta  0.0000  0.0000  0.0000 (multiplicity 2)
In  0.0000  0.0000  0.4548 (multiplicity 2)
In  0.0000  0.5000  0.7448 (multiplicity 2)
W  0.0000  0.5000  0.2097 (multiplicity 2)

Results
ΔH_f (0 K)	32.4	kJ per mole of atoms
energy above the most stable polymorph in this dataset	0.0	meV/atom


Record 3
Below is a geometry-optimized LiAsSe structure, with properties calculated at the GGA-PBEsol level.

Cell lengths 2.8646, 3.9340, 10.1331 Å; angles 90.00, 90.00, 90.00 degrees
Space group Imm2 (No. 44)
Symmetry-distinct sites (fractional):
Li  0.0000  0.0000  0.0000 (multiplicity 2)
As  0.0000  0.0000  0.6289 (multiplicity 2)
Se  0.0000  0.0000  0.3853 (multiplicity 2)

Results
E_form (uncorrected)	-0.345	eV per atom


Record 4
Below is a geometry-optimized NpB12 structure, with properties calculated at the GGA-PBEsol level.

Cell lengths 7.4062, 7.4062, 7.4062 Å; angles 90.00, 90.00, 90.00 degrees
Space group Fm-3m (No. 225)
Symmetry-distinct sites (fractional):
Np  0.0000  0.0000  0.0000 (multiplicity 4)
B  0.0000  0.1693  0.3307 (multiplicity 48)

Results
ΔH_f (0 K)	-22.9	kJ per mole of atoms


Record 5
Below is a geometry-optimized Ca2Mg3Zn structure, with properties calculated at the GGA-PBEsol level.

Cell lengths 6.0186, 6.0186, 14.5004 Å; angles 90.00, 90.00, 120.00 degrees
Space group R-3m (No. 166, hexagonal axes)
Symmetry-distinct sites (fractional):
Ca  0.0000  0.0000  0.1265 (multiplicity 6)
Mg  0.0000  0.5000  0.0000 (multiplicity 9)
Zn  0.0000  0.0000  0.5000 (multiplicity 3)

Results
ΔH_f (0 K)	-13.5	kJ per mole of atoms
energy above the most stable polymorph in this dataset	10.4	meV/atom


Record 6
Below is a geometry-optimized CaOsO2 structure, with properties calculated at the GGA-PBEsol level.

Cell lengths 3.4513, 3.4513, 16.5491 Å; angles 90.00, 90.00, 120.00 degrees
Space group R-3m (No. 166, hexagonal axes)
Symmetry-distinct sites (fractional):
Ca  0.0000  0.0000  0.0000 (multiplicity 3)
Os  0.0000  0.0000  0.5000 (multiplicity 3)
O  0.0000  0.0000  0.1293 (multiplicity 6)

Results
E_form (uncorrected)	-0.878	eV per atom


Listing calculated volume for the structures above in their given order: 73.8, 157.0, 114.2, 406.2, 454.9, 170.7 Å³/cell.
Listing DOS at the Fermi energy for the structures above in their given order: 2.0, 6.0, 1.6, 27.8, 10.8, 8.7 states/eV per cell.
Listing final energy for the structures above in their given order: -5.60, -7.75, -3.99, -7.78, -1.97, -7.09 eV/atom.